No. 1
First-principles (PBE) data for a relaxed structure of BaGa3Tc, as listed in Alexandria.

For the calculated volume, the calculation gives 766.4 Å³/cell. Its crystal system is trigonal. The density of states at the Fermi level is 26.27 states/eV/cell. Its energy of formation from the pure elements is 199 kJ/mol of formula units.

Cell lengths 8.7660, 8.7660, 11.5171 Å; angles 90.00, 90.00, 120.00 degrees
Closest atoms and distances in Å follow each position.
Space group R-3c (No. 167, hexagonal axes)
One atom of each set of equivalent atoms:
1 Ba 0.0000 0.0000 0.0000 x6  2 Tc 2.88
2 Ga 0.0000 0.2801 0.2500 x18  1 Tc 2.46
3 Tc 0.0000 0.0000 0.2500 x6  3 Ga 2.46

No. 2
First-principles (PBE) data for a relaxed structure of BaGaTc, as listed in Alexandria.

For the calculated volume, the calculation gives 354.7 Å³/cell. Its crystal system is monoclinic. The density of states at the Fermi level is 10.08 states/eV/cell. Its energy of formation from the pure elements is -16 kJ/mol of formula units.

Cell lengths 20.4644, 4.2859, 4.1273 Å; angles 90.00, 101.53, 90.00 degrees
Closest atoms and distances in Å follow each position.
Space group C2 (No. 5)
One atom of each set of equivalent atoms:
1 Ba 0.1535 0.0000 0.1520 x4  4 Ga 3.28-3.41, 1 Tc 3.39
2 Ga 0.0771 0.4769 0.5762 x4  4 Tc 2.63-2.71
3 Tc 0.0000 0.6680 0.0000 x2  2 Tc 2.44, 4 Ga 2.70-2.71
4 Tc 0.0000 0.9732 0.5000 x2  2 Tc 2.44, 4 Ga 2.63-2.66